Entry 1:
Material: Lu2NiAg
Method: DFT, PBE
State: optimized geometry

Properties
- Space group: No. 166
- Energy of formation from the pure elements: -244 meV/atom
- Fermi-level density of states: 1.73 states/eV/cell
- Total energy: -4.66 eV per atom
- Spin magnetization: 0.00 μB/cell

Cell lengths 3.8488, 3.8488, 7.4343 Å; angles 75.00, 75.00, 60.00 degrees
Sites, in units of the cell vectors:
1 Ni 0.0000 0.0000 0.0000
2 Ag 0.5000 0.5000 0.5000
3 Lu 0.7370 0.7370 0.7889
4 Lu 0.2630 0.2630 0.2111

---

Entry 2:
Material: LuNiAg
Method: DFT, PBE
State: optimized geometry

Properties
- Space group: No. 107
- Energy of formation from the pure elements: -256 meV/atom
- Fermi-level density of states: 2.36 states/eV/cell
- Total energy: -4.64 eV per atom
- Spin magnetization: 0.00 μB/cell

Cell lengths 3.4560, 3.4560, 5.1667 Å; angles 109.54, 109.54, 90.00 degrees
Sites, in units of the cell vectors:
1 Lu 0.6046 0.6046 0.2092
2 Ag 0.2913 0.2913 0.5827
3 Ni 0.9541 0.9541 0.9081

---

Entry 3:
Material: LuNiAgPb
Method: DFT, PBE
State: optimized geometry

Properties
- Space group: No. 216
- Energy of formation from the pure elements: -174 meV/atom
- Fermi-level density of states: 3.14 states/eV/cell
- Total energy: -4.39 eV per atom
- Spin magnetization: 0.00 μB/cell

Cell lengths 4.8134, 4.8134, 4.8134 Å; angles 60.00, 60.00, 60.00 degrees
Sites, in units of the cell vectors:
1 Lu 0.0000 0.0000 0.0000
2 Ag 0.2500 0.2500 0.2500
3 Pb 0.5000 0.5000 0.5000
4 Ni 0.7500 0.7500 0.7500

---

Entry 4:
Material: PmLuNiAg
Method: DFT, PBE
State: optimized geometry

Properties
- Space group: No. 216
- Energy of formation from the pure elements: -291 meV/atom
- Fermi-level density of states: 2.55 states/eV/cell
- Total energy: -4.77 eV per atom
- Spin magnetization: 0.00 μB/cell

Cell lengths 4.9902, 4.9902, 4.9902 Å; angles 60.00, 60.00, 60.00 degrees
Sites, in units of the cell vectors:
1 Ag 0.7500 0.7500 0.7500
2 Lu 0.5000 0.5000 0.5000
3 Pm 0.0000 0.0000 0.0000
4 Ni 0.2500 0.2500 0.2500

---

Entry 5:
Material: LuNiAgPt
Method: DFT, PBE
State: optimized geometry

Properties
- Space group: No. 216
- Energy of formation from the pure elements: -485 meV/atom
- Fermi-level density of states: 2.44 states/eV/cell
- Total energy: -5.28 eV per atom
- Spin magnetization: 0.00 μB/cell

Cell lengths 4.5996, 4.5996, 4.5996 Å; angles 60.00, 60.00, 60.00 degrees
Sites, in units of the cell vectors:
1 Lu 0.5000 0.5000 0.5000
2 Pt 0.7500 0.7500 0.7500
3 Ag 0.0000 0.0000 0.0000
4 Ni 0.2500 0.2500 0.2500

---

Entry 6:
Material: SmLuNiAg
Method: DFT, PBE
State: optimized geometry

Properties
- Space group: No. 216
- Energy of formation from the pure elements: -299 meV/atom
- Fermi-level density of states: 2.79 states/eV/cell
- Total energy: -4.77 eV per atom
- Spin magnetization: 0.00 μB/cell

Cell lengths 4.9755, 4.9755, 4.9755 Å; angles 60.00, 60.00, 60.00 degrees
Sites, in units of the cell vectors:
1 Sm 0.2500 0.2500 0.2500
2 Lu 0.7500 0.7500 0.7500
3 Ni 0.0000 0.0000 0.0000
4 Ag 0.5000 0.5000 0.5000